[1]
ScNbNiHg2 (GGA-PBE, relaxed); M_tot = 0.459 μB per formula unit; total energy = -16.54 eV for the cell shown
1.0
5.356 0.000 0.000
0.000 5.356 0.000
0.000 0.000 4.862
Sc Nb Ni Hg
1 1 1 2
Cartesian
0.000 0.000 0.000
0.000 0.000 2.431
2.678 2.678 0.000
0.000 2.678 2.431
2.678 0.000 2.431



[2]
Ta3SbW (GGA-PBE, relaxed); formation energy without anion corrections = 2241 meV per atom; M_tot = 0.001 μB per formula unit; total energy = -41.43 eV for the cell shown
1.0
4.901 0.000 0.000
0.000 4.901 0.000
0.000 0.000 4.901
Ta Sb W
3 1 1
Cartesian
0.000 0.000 2.451
0.000 2.451 0.000
2.451 0.000 0.000
0.000 0.000 0.000
2.451 2.451 2.451



[3]
Nd4NiSBr2 (GGA-PBE, relaxed); formation energy without anion corrections = -1212 meV per atom; M_tot = 0.000 μB per formula unit; total energy = -42.02 eV for the cell shown
1.0
7.278 0.000 0.000
0.000 3.994 0.000
-2.317 0.000 7.442
Nd Ni S Br
4 1 1 2
Cartesian
1.117 0.000 1.491
0.102 1.997 5.916
4.858 1.997 1.527
3.843 0.000 5.952
0.000 1.997 0.000
3.639 0.000 0.000
-1.159 0.000 3.721
2.480 1.997 3.721



[4]
SrLiSn2 (GGA-PBE, relaxed); M_tot = 0.000 μB per formula unit; total energy = -50.48 eV for the cell shown
1.0
5.136 0.000 0.000
0.000 5.136 0.000
0.000 0.000 19.591
Sr Li Sn
4 4 8
Cartesian
0.000 0.000 0.000
0.000 2.568 4.898
2.568 0.000 14.693
2.568 2.568 9.795
0.000 0.000 9.795
0.000 2.568 14.693
2.568 0.000 4.898
2.568 2.568 0.000
0.747 1.284 12.244
1.284 3.315 17.142
1.284 4.388 7.347
1.821 1.284 2.449
3.315 3.852 2.449
3.852 0.747 7.347
3.852 1.821 17.142
4.388 3.852 12.244



[5]
Ag3PdF (GGA-PBE, relaxed); formation energy without anion corrections = 489 meV per atom; M_tot = 0.000 μB per formula unit; total energy = -13.17 eV for the cell shown
1.0
5.122 0.000 0.000
0.000 5.122 0.000
0.000 0.000 5.122
Ag Pd F
3 1 1
Cartesian
0.000 0.000 2.561
0.000 2.561 0.000
2.561 0.000 0.000
0.000 0.000 0.000
2.561 2.561 2.561



[6]
Si2Ni2P (GGA-PBE, relaxed); formation energy without anion corrections = -76 meV per atom; M_tot = 0.000 μB per formula unit; total energy = -56.40 eV for the cell shown
1.0
6.924 0.000 0.000
0.000 6.924 0.000
0.000 0.000 2.584
Si Ni P
4 4 2
Cartesian
1.071 2.391 0.000
2.391 5.853 0.000
4.533 1.071 0.000
5.853 4.533 0.000
0.965 4.427 1.292
2.497 0.965 1.292
4.427 5.959 1.292
5.959 2.497 1.292
0.000 0.000 1.292
3.462 3.462 1.292